Density functional theory data (PBE) for a relaxed Be2PbSe2 crystal.

Values from the calculation:
As for the energy relative to the elements, uncorrected: 233 meV per atom. The total energy is -33.93 eV/cell.

```
10
Lattice="7.363 0.000 0.000 0.000 7.363 0.000 0.000 0.000 3.386" Properties=species:S:1:pos:R:3 pbc="T T T"
Be 0.761 2.920 0.000
Be 2.920 6.602 0.000
Be 4.443 0.761 0.000
Be 6.602 4.443 0.000
Pb 0.000 0.000 0.000
Pb 3.681 3.681 0.000
Se 1.102 4.783 1.693
Se 2.580 1.102 1.693
Se 4.783 6.261 1.693
Se 6.261 2.580 1.693
```